Density functional theory data (PBE) for crystalline MnNiP2 at its relaxed geometry.

total magnetic moment: 0.167 μB per atom
crystal system: monoclinic
ΔH_f (0 K): -0.19 eV/atom

```
data_MnNiP2
_chemical_formula_sum 'Mn2 Ni2 P4'
_space_group_name_H-M_alt 'C 1 2/m 1'
_space_group_IT_number 12
_space_group_name_Hall '-C 2y'
_cell_length_a 7.172
_cell_length_b 2.836
_cell_length_c 4.646
_cell_angle_alpha 90.00
_cell_angle_beta 101.09
_cell_angle_gamma 90.00
loop_
_atom_site_label
_atom_site_type_symbol
_atom_site_fract_x
_atom_site_fract_y
_atom_site_fract_z
Mn1 Mn 0.000 0.000 0.000
Ni1 Ni 0.000 0.500 0.500
P1 P 0.241 0.500 0.229
```